No. 1
Density functional theory data (PBE-GGA) for PmPrHgRh after structural relaxation.

## Properties
size of the total moment	0.00	μB per formula unit
ΔH_f (0 K)	-0.506	eV/atom
DOS at the Fermi energy	2.292	states/eV per cell
SG	F-43m, No. 216

Structure (extended XYZ):
```
4
Lattice="0.000 3.692 3.692 3.692 0.000 3.692 3.692 3.692 0.000" Properties=species:S:1:pos:R:3 pbc="T T T"
Pm 0.000 0.000 0.000
Pr 3.692 3.692 3.692
Hg 1.846 1.846 1.846
Rh 5.538 5.538 5.538
```



No. 2
Density functional theory data (PBE-GGA) for PmPrHgRu after structural relaxation.

## Properties
size of the total moment	0.00	μB per formula unit
ΔH_f (0 K)	-0.322	eV/atom
DOS at the Fermi energy	3.824	states/eV per cell
SG	P4mm, No. 99

Structure (extended XYZ):
```
4
Lattice="3.584 0.000 0.000 0.000 3.584 0.000 0.000 0.000 7.807" Properties=species:S:1:pos:R:3 pbc="T T T"
Pm 0.000 0.000 0.000
Pr 0.000 0.000 3.437
Hg 1.792 1.792 5.674
Ru 1.792 1.792 1.679
```



No. 3
Density functional theory data (PBE-GGA) for PmPrHgRu after structural relaxation.

## Properties
size of the total moment	0.00	μB per formula unit
ΔH_f (0 K)	-0.239	eV/atom
DOS at the Fermi energy	3.159	states/eV per cell
SG	F-43m, No. 216

Structure (extended XYZ):
```
4
Lattice="0.000 3.674 3.674 3.674 0.000 3.674 3.674 3.674 0.000" Properties=species:S:1:pos:R:3 pbc="T T T"
Pm 0.000 0.000 0.000
Pr 3.674 3.674 3.674
Hg 1.837 1.837 1.837
Ru 5.511 5.511 5.511
```



No. 4
Density functional theory data (PBE-GGA) for PmPrHgSb after structural relaxation.

## Properties
size of the total moment	0.00	μB per formula unit
DOS at the Fermi energy	3.160	states/eV per cell
formation energy without anion corrections	-2.713	eV per formula unit
SG	F-43m, No. 216

Structure (extended XYZ):
```
4
Lattice="0.000 3.851 3.851 3.851 0.000 3.851 3.851 3.851 0.000" Properties=species:S:1:pos:R:3 pbc="T T T"
Pm 0.000 0.000 0.000
Pr 3.851 3.851 3.851
Hg 5.776 5.776 5.776
Sb 1.925 1.925 1.925
```



No. 5
Density functional theory data (PBE-GGA) for PmPrScHg after structural relaxation.

## Properties
size of the total moment	2.19	μB per formula unit
ΔH_f (0 K)	-0.014	eV/atom
DOS at the Fermi energy	6.012	states/eV per cell
SG	F-43m, No. 216

Structure (extended XYZ):
```
4
Lattice="0.000 3.813 3.813 3.813 0.000 3.813 3.813 3.813 0.000" Properties=species:S:1:pos:R:3 pbc="T T T"
Pm 0.000 0.000 0.000
Pr 1.907 1.907 1.907
Sc 5.720 5.720 5.720
Hg 3.813 3.813 3.813
```



No. 6
Density functional theory data (PBE-GGA) for PmPrScHg after structural relaxation.

## Properties
size of the total moment	0.10	μB per formula unit
ΔH_f (0 K)	-0.092	eV/atom
DOS at the Fermi energy	5.972	states/eV per cell
SG	F-43m, No. 216

Structure (extended XYZ):
```
4
Lattice="0.000 3.852 3.852 3.852 0.000 3.852 3.852 3.852 0.000" Properties=species:S:1:pos:R:3 pbc="T T T"
Pm 0.000 0.000 0.000
Pr 3.852 3.852 3.852
Sc 5.778 5.778 5.778
Hg 1.926 1.926 1.926
```



No. 7
Density functional theory data (PBE-GGA) for PmPrSiHg after structural relaxation.

## Properties
size of the total moment	0.00	μB per formula unit
DOS at the Fermi energy	3.169	states/eV per cell
formation energy without anion corrections	-1.855	eV per formula unit
SG	F-43m, No. 216

Structure (extended XYZ):
```
4
Lattice="0.000 3.735 3.735 3.735 0.000 3.735 3.735 3.735 0.000" Properties=species:S:1:pos:R:3 pbc="T T T"
Pm 0.000 0.000 0.000
Pr 3.735 3.735 3.735
Si 1.867 1.867 1.867
Hg 5.602 5.602 5.602
```



No. 8
Density functional theory data (PBE-GGA) for PmPr2Sn2Hg2 after structural relaxation.

## Properties
size of the total moment	0.00	μB per formula unit
ΔH_f (0 K)	-0.365	eV/atom
DOS at the Fermi energy	5.196	states/eV per cell
SG	R-3m, No. 166

Structure (extended XYZ):
```
7
Lattice="2.505 1.446 9.380 -2.505 1.446 9.380 0.000 -2.893 9.380" Properties=species:S:1:pos:R:3 pbc="T T T"
Pm 0.000 0.000 0.000
Pr 0.000 0.000 3.666
Pr 0.000 0.000 24.475
Sn 0.000 0.000 7.678
Sn 0.000 0.000 20.464
Hg 0.000 0.000 11.960
Hg 0.000 0.000 16.182
```



No. 9
Density functional theory data (PBE-GGA) for TbPmPrHg after structural relaxation.

## Properties
size of the total moment	0.00	μB per formula unit
ΔH_f (0 K)	-0.071	eV/atom
DOS at the Fermi energy	5.693	states/eV per cell
SG	F-43m, No. 216

Structure (extended XYZ):
```
4
Lattice="0.000 3.914 3.914 3.914 0.000 3.914 3.914 3.914 0.000" Properties=species:S:1:pos:R:3 pbc="T T T"
Tb 0.000 0.000 0.000
Pm 5.871 5.871 5.871
Pr 1.957 1.957 1.957
Hg 3.914 3.914 3.914
```



No. 10
Density functional theory data (PBE-GGA) for TbPmPrHg after structural relaxation.

## Properties
size of the total moment	0.00	μB per formula unit
ΔH_f (0 K)	-0.235	eV/atom
DOS at the Fermi energy	4.704	states/eV per cell
SG	P4mm, No. 99

Structure (extended XYZ):
```
4
Lattice="3.714 0.000 0.000 0.000 3.714 0.000 0.000 0.000 8.934" Properties=species:S:1:pos:R:3 pbc="T T T"
Tb 0.000 0.000 0.000
Pm 0.000 0.000 3.873
Pr 1.857 1.857 6.433
Hg 1.857 1.857 1.841
```



No. 11
Density functional theory data (PBE-GGA) for PmPrHgTe2 after structural relaxation.

## Properties
size of the total moment	0.00	μB per formula unit
DOS at the Fermi energy	6.249	states/eV per cell
formation energy without anion corrections	-5.648	eV per formula unit
SG	P4/nmm, No. 129

Structure (extended XYZ):
```
10
Lattice="4.452 0.000 0.000 0.000 4.452 0.000 0.000 0.000 15.498" Properties=species:S:1:pos:R:3 pbc="T T T"
Pm 1.113 1.113 1.365
Pm 3.339 3.339 14.133
Pr 1.113 1.113 10.372
Pr 3.339 3.339 5.126
Hg 1.113 3.339 7.749
Hg 3.339 1.113 7.749
Te 1.113 1.113 4.595
Te 1.113 1.113 13.692
Te 3.339 3.339 1.806
Te 3.339 3.339 10.903
```



No. 12
Density functional theory data (PBE-GGA) for PmPrThHg after structural relaxation.

## Properties
size of the total moment	0.00	μB per formula unit
ΔH_f (0 K)	0.018	eV/atom
DOS at the Fermi energy	7.266	states/eV per cell
SG	F-43m, No. 216

Structure (extended XYZ):
```
4
Lattice="0.000 3.920 3.920 3.920 0.000 3.920 3.920 3.920 0.000" Properties=species:S:1:pos:R:3 pbc="T T T"
Pm 0.000 0.000 0.000
Pr 1.960 1.960 1.960
Th 5.881 5.881 5.881
Hg 3.920 3.920 3.920
```



No. 13
Density functional theory data (PBE-GGA) for Pm3Pr3TlHg2 after structural relaxation.

## Properties
size of the total moment	0.00	μB per formula unit
ΔH_f (0 K)	-0.249	eV/atom
DOS at the Fermi energy	13.149	states/eV per cell
SG	P-62m, No. 189

Structure (extended XYZ):
```
9
Lattice="9.117 0.000 0.000 -4.559 7.896 0.000 0.000 0.000 3.877" Properties=species:S:1:pos:R:3 pbc="T T T"
Pm -1.767 3.061 0.000
Pm 3.534 0.000 0.000
Pm 2.792 4.835 0.000
Pr -3.251 5.631 1.938
Pr 1.308 2.265 1.938
Pr 6.502 0.000 1.938
Tl 0.000 0.000 0.000
Hg 0.000 5.264 1.938
Hg 4.559 2.632 1.938
```



No. 14
Density functional theory data (PBE-GGA) for PmPrTlHg after structural relaxation.

## Properties
size of the total moment	0.91	μB per formula unit
ΔH_f (0 K)	-0.431	eV/atom
DOS at the Fermi energy	3.753	states/eV per cell
SG	F-43m, No. 216

Structure (extended XYZ):
```
4
Lattice="0.000 3.880 3.880 3.880 0.000 3.880 3.880 3.880 0.000" Properties=species:S:1:pos:R:3 pbc="T T T"
Pm 0.000 0.000 0.000
Pr 3.880 3.880 3.880
Tl 5.819 5.819 5.819
Hg 1.940 1.940 1.940
```



No. 15
Density functional theory data (PBE-GGA) for PmPrYHg after structural relaxation.

## Properties
size of the total moment	0.00	μB per formula unit
ΔH_f (0 K)	-0.240	eV/atom
DOS at the Fermi energy	4.675	states/eV per cell
SG	P4mm, No. 99

Structure (extended XYZ):
```
4
Lattice="3.712 0.000 0.000 0.000 3.712 0.000 0.000 0.000 8.940" Properties=species:S:1:pos:R:3 pbc="T T T"
Pm 0.000 0.000 0.000
Pr 1.856 1.856 2.554
Y 0.000 0.000 5.079
Hg 1.856 1.856 6.906
```



No. 16
Density functional theory data (PBE-GGA) for PmPrYHg after structural relaxation.

## Properties
size of the total moment	0.19	μB per formula unit
ΔH_f (0 K)	-0.047	eV/atom
DOS at the Fermi energy	6.452	states/eV per cell
SG	F-43m, No. 216

Structure (extended XYZ):
```
4
Lattice="0.000 3.907 3.907 3.907 0.000 3.907 3.907 3.907 0.000" Properties=species:S:1:pos:R:3 pbc="T T T"
Pm 0.000 0.000 0.000
Pr 1.953 1.953 1.953
Y 5.860 5.860 5.860
Hg 3.907 3.907 3.907
```



No. 17
Density functional theory data (PBE-GGA) for PmPrZnHg after structural relaxation.

## Properties
size of the total moment	0.00	μB per formula unit
ΔH_f (0 K)	-0.397	eV/atom
DOS at the Fermi energy	3.926	states/eV per cell
SG	P4mm, No. 99

Structure (extended XYZ):
```
4
Lattice="3.746 0.000 0.000 0.000 3.746 0.000 0.000 0.000 7.581" Properties=species:S:1:pos:R:3 pbc="T T T"
Pm 0.000 0.000 0.000
Pr 0.000 0.000 4.050
Zn 1.873 1.873 5.865
Hg 1.873 1.873 1.963
```



No. 18
Density functional theory data (PBE-GGA) for PmPrZnHg after structural relaxation.

## Properties
size of the total moment	0.88	μB per formula unit
ΔH_f (0 K)	-0.371	eV/atom
DOS at the Fermi energy	4.321	states/eV per cell
SG	F-43m, No. 216

Structure (extended XYZ):
```
4
Lattice="0.000 3.774 3.774 3.774 0.000 3.774 3.774 3.774 0.000" Properties=species:S:1:pos:R:3 pbc="T T T"
Pm 0.000 0.000 0.000
Pr 3.774 3.774 3.774
Zn 5.661 5.661 5.661
Hg 1.887 1.887 1.887
```



No. 19
Density functional theory data (PBE-GGA) for Pm3Hg4Pt4 after structural relaxation.

## Properties
size of the total moment	0.00	μB per formula unit
ΔH_f (0 K)	-0.654	eV/atom
DOS at the Fermi energy	6.196	states/eV per cell
SG	Immm, No. 71

Structure (extended XYZ):
```
11
Lattice="-1.989 3.992 7.968 1.989 -3.992 7.968 1.989 3.992 -7.968" Properties=species:S:1:pos:R:3 pbc="T T T"
Pm 0.000 0.000 0.000
Pm 1.989 0.000 6.124
Pm 0.000 3.992 1.844
Hg 1.989 1.523 -2.619
Hg 1.989 1.523 2.619
Hg 0.000 2.469 5.349
Hg 0.000 2.469 10.587
Pt 0.000 0.000 3.891
Pt 1.989 2.454 0.000
Pt 0.000 1.538 7.968
Pt 0.000 0.000 12.046
```



No. 20
Density functional theory data (PBE-GGA) for PmHgPt2 after structural relaxation.

## Properties
size of the total moment	0.00	μB per formula unit
ΔH_f (0 K)	-0.603	eV/atom
DOS at the Fermi energy	2.463	states/eV per cell
SG	P4/mmm, No. 123

Structure (extended XYZ):
```
4
Lattice="4.614 0.000 0.000 0.000 4.614 0.000 0.000 0.000 3.850" Properties=species:S:1:pos:R:3 pbc="T T T"
Pm 0.000 0.000 0.000
Hg 2.307 2.307 0.000
Pt 0.000 2.307 1.925
Pt 2.307 0.000 1.925
```



No. 21
Density functional theory data (PBE-GGA) for Pm8HgPt2 after structural relaxation.

## Properties
size of the total moment	0.00	μB per formula unit
ΔH_f (0 K)	-0.431	eV/atom
DOS at the Fermi energy	12.972	states/eV per cell
SG	Cm, No. 8

Structure (extended XYZ):
```
11
Lattice="4.379 -6.885 0.000 4.379 6.885 0.000 -1.536 0.000 5.517" Properties=species:S:1:pos:R:3 pbc="T T T"
Pm 0.000 0.000 0.000
Pm 0.648 1.715 3.376
Pm 3.109 3.328 1.044
Pm 0.648 -1.715 3.376
Pm 4.031 1.714 4.229
Pm 3.109 -3.328 1.044
Pm 4.031 -1.714 4.229
Pm 6.216 0.000 2.088
Hg 3.111 0.000 1.033
Pt 2.340 4.138 3.802
Pt 2.340 -4.138 3.802
```



No. 22
Density functional theory data (PBE-GGA) for Pm2Hg3Pt after structural relaxation.

## Properties
size of the total moment	0.00	μB per formula unit
ΔH_f (0 K)	-0.591	eV/atom
DOS at the Fermi energy	3.364	states/eV per cell
SG	Pmm2, No. 25

Structure (extended XYZ):
```
6
Lattice="3.573 0.000 0.000 0.000 4.876 0.000 0.000 0.000 8.519" Properties=species:S:1:pos:R:3 pbc="T T T"
Pm 0.000 0.000 0.000
Pm 0.000 2.438 3.683
Hg 1.786 0.000 5.256
Hg 1.786 2.438 1.053
Hg 1.786 2.438 6.713
Pt 1.786 0.000 2.448
```



No. 23
Density functional theory data (PBE-GGA) for Pm4HgPt after structural relaxation.

## Properties
size of the total moment	0.00	μB per formula unit
ΔH_f (0 K)	-0.423	eV/atom
DOS at the Fermi energy	17.120	states/eV per cell
SG	P2_1/c, No. 14

Structure (extended XYZ):
```
12
Lattice="7.400 0.000 0.000 0.000 7.321 0.000 -0.414 0.000 7.202" Properties=species:S:1:pos:R:3 pbc="T T T"
Pm 1.016 1.165 1.262
Pm 0.808 2.495 4.863
Pm 2.396 4.734 0.914
Pm 2.188 6.248 4.515
Pm 4.798 1.073 2.687
Pm 4.590 2.587 6.288
Pm 6.178 4.826 2.339
Pm 5.970 6.156 5.940
Hg 3.700 0.000 0.000
Hg 3.493 3.660 3.601
Pt -0.207 0.000 3.601
Pt 0.000 3.660 0.000
```



No. 24
Density functional theory data (PBE-GGA) for PmHg2Pt after structural relaxation.

## Properties
size of the total moment	0.00	μB per formula unit
ΔH_f (0 K)	0.212	eV/atom
DOS at the Fermi energy	3.577	states/eV per cell
SG	R-3m, No. 166

Structure (extended XYZ):
```
4
Lattice="1.638 0.946 10.542 -1.638 0.946 10.542 0.000 -1.891 10.542" Properties=species:S:1:pos:R:3 pbc="T T T"
Pm 0.000 0.000 0.000
Hg 0.000 0.000 3.105
Hg 0.000 0.000 28.522
Pt 0.000 0.000 15.814
```



No. 25
Density functional theory data (PBE-GGA) for Pm7Hg2Pt2 after structural relaxation.

## Properties
size of the total moment	0.00	μB per formula unit
ΔH_f (0 K)	-0.496	eV/atom
DOS at the Fermi energy	10.223	states/eV per cell
SG	Cmmm, No. 65

Structure (extended XYZ):
```
11
Lattice="4.143 -5.631 0.000 4.143 5.631 0.000 0.000 0.000 7.297" Properties=species:S:1:pos:R:3 pbc="T T T"
Pm 0.000 0.000 0.000
Pm 2.071 2.815 1.870
Pm 2.071 2.815 5.427
Pm 2.071 -2.815 1.870
Pm 2.071 -2.815 5.427
Pm 4.143 0.000 1.828
Pm 4.143 0.000 5.469
Hg 1.474 0.000 3.649
Hg 6.812 0.000 3.649
Pt 4.143 2.375 0.000
Pt 4.143 -2.375 0.000
```



No. 26
Density functional theory data (PBE-GGA) for Pm3HgPt2 after structural relaxation.

## Properties
size of the total moment	0.00	μB per formula unit
ΔH_f (0 K)	-0.688	eV/atom
DOS at the Fermi energy	4.806	states/eV per cell
SG	Cmmm, No. 65

Structure (extended XYZ):
```
6
Lattice="1.950 -8.628 0.000 1.950 8.628 0.000 0.000 0.000 4.648" Properties=species:S:1:pos:R:3 pbc="T T T"
Pm 0.000 0.000 0.000
Pm 1.950 5.839 2.324
Pm 1.950 -5.839 2.324
Hg 1.950 0.000 2.324
Pt 1.950 2.310 0.000
Pt 1.950 -2.310 0.000
```



No. 27
Density functional theory data (PBE-GGA) for Pm5Hg2Pt2 after structural relaxation.

## Properties
size of the total moment	0.00	μB per formula unit
ΔH_f (0 K)	-0.730	eV/atom
DOS at the Fermi energy	18.222	states/eV per cell
SG	Cmce, No. 64

Structure (extended XYZ):
```
18
Lattice="7.975 -3.794 0.000 7.975 3.794 0.000 0.000 0.000 8.227" Properties=species:S:1:pos:R:3 pbc="T T T"
Pm 0.000 0.000 0.000
Pm 5.995 2.525 5.548
Pm 5.995 1.270 1.435
Pm 9.955 2.525 5.548
Pm 9.955 1.270 1.435
Pm 7.975 0.000 4.113
Pm 5.995 -1.270 6.792
Pm 5.995 -2.525 2.679
Pm 9.955 -1.270 6.792
Pm 9.955 -2.525 2.679
Hg 3.390 0.000 0.000
Hg 4.585 0.000 4.113
Hg 11.365 0.000 4.113
Hg 12.560 0.000 0.000
Pt 7.975 2.809 3.051
Pt 7.975 0.986 7.164
Pt 7.975 -0.986 1.063
Pt 7.975 -2.809 5.176
```



Here are the calculated total energy numbers, same order: -4.8014 -5.0992 -5.0160 -4.1667 -4.0551 -4.1327 -4.2776 -3.6394 -3.6867 -3.8507 -4.3527 -4.2946 -3.7561 -3.4809 -4.3143 -4.1209 -3.1735 -3.1474 -4.2565 -4.8864 -5.0122 -3.3327 -4.6471 -2.6367 -4.6727 -5.1269 -4.7783 (eV/atom).